[1]
Computed, not measured: LaSbRu2 after structural relaxation at the PBE level of DFT.

Structure (POSCAR):
```
LaSbRu2
1.0
-2.727 -3.992 0.749
2.661 -1.542 1.471
-0.282 1.135 5.022
Sb Ru La
1 2 1
direct
0.000 0.345 0.466
0.500 0.397 0.233
0.000 0.016 0.058
0.500 0.741 0.744
```

- raw formation energy (eV/atom) = -0.0842
- electronic total energy (eV per atom) = -6.98
- density of states at the Fermi level (states/eV/f.u.) = 3.7


[2]
Computed, not measured: LaSbRu2 after structural relaxation at the PBE level of DFT.

Structure (POSCAR):
```
LaSbRu2
1.0
0.000 4.303 -3.789
-4.645 -2.525 1.420
-1.468 1.927 2.085
La Sb Ru
1 1 2
direct
0.500 0.500 0.000
0.000 0.500 0.500
0.500 0.000 0.500
0.000 0.000 0.000
```

- raw formation energy (eV/atom) = 0.1114
- electronic total energy (eV per atom) = -6.79
- density of states at the Fermi level (states/eV/f.u.) = 4.5


[3]
Computed, not measured: LaSb2Ru after structural relaxation at the PBE level of DFT.

Structure (POSCAR):
```
LaSb2Ru
1.0
-2.882 3.312 2.823
-3.999 -3.351 -0.150
-0.591 -3.744 8.615
Sb La Ru
4 2 2
direct
0.248 0.625 0.250
0.502 0.125 0.250
0.375 0.498 0.750
0.875 0.752 0.750
0.750 0.250 0.500
0.000 0.000 0.000
0.250 0.750 0.500
0.500 0.500 0.000
```

- raw formation energy (eV/atom) = -0.1440
- electronic total energy (eV per atom) = -5.76
- density of states at the Fermi level (states/eV/f.u.) = 4.4


[4]
Computed, not measured: LaSbRu2 after structural relaxation at the PBE level of DFT.

Structure (POSCAR):
```
LaSbRu2
1.0
-2.193 -2.863 -0.285
3.580 -2.821 0.788
-0.845 0.196 4.543
Sb Ru La
1 2 1
direct
0.500 0.500 0.000
0.000 0.500 0.500
0.000 0.000 0.000
0.500 0.000 0.500
```

- raw formation energy (eV/atom) = -0.1919
- electronic total energy (eV per atom) = -7.09
- density of states at the Fermi level (states/eV/f.u.) = 1.4


[5]
Computed, not measured: La4SbRu after structural relaxation at the PBE level of DFT.

Structure (POSCAR):
```
La4SbRu
1.0
-6.047 -3.557 0.557
5.614 -5.747 0.610
0.357 5.584 6.899
La Sb Ru
8 2 2
direct
0.691 0.071 0.414
0.030 0.813 0.090
0.223 0.342 0.414
0.309 0.929 0.586
0.440 0.723 0.910
0.560 0.277 0.090
0.970 0.187 0.910
0.777 0.658 0.586
0.367 0.617 0.234
0.633 0.383 0.766
0.173 0.923 0.846
0.827 0.077 0.154
```

- raw formation energy (eV/atom) = -0.4902
- electronic total energy (eV per atom) = -6.01
- relative energy among the computed polymorphs (eV/atom) = 0.0684
- density of states at the Fermi level (states/eV/f.u.) = 7.2


[6]
Computed, not measured: LaSb2Ru after structural relaxation at the PBE level of DFT.

Structure (POSCAR):
```
LaSb2Ru
1.0
-3.217 0.856 -5.094
3.124 -0.882 -5.148
-2.241 -2.348 5.148
Ru La Sb
1 1 2
direct
0.250 0.750 0.500
0.750 0.250 0.500
0.045 0.045 0.000
0.455 0.455 0.000
```

- raw formation energy (eV/atom) = -0.3516
- electronic total energy (eV per atom) = -5.96
- density of states at the Fermi level (states/eV/f.u.) = 2.7